Zn2SiNi, relaxed, DFT PBE; energy relative to the elements, uncorrected = 0.010 eV per atom; total DFT energy (no corrections) = -3.43 eV per atom; DOS at the Fermi energy = 0.5860 states/eV/atom; total moment = 0.0 Bohr magnetons per cell
1.0
-4.1855 1.4060 0.1918
0.7562 -3.3581 2.7719
0.7455 1.9283 2.1328
Ni Si Zn
1 1 2
Direct
0.5000 0.0000 0.5000 Ni
0.0000 0.5000 0.5000 Si
0.0000 0.0000 0.0000 Zn
0.5000 0.5000 0.0000 Zn